[1]
Ac2LaTlIr PBE-GGA relaxed; symmetry = P2_1/m, No. 11; uncorrected energy = -53.32 eV for the cell shown; V = 36.68 Å³/atom
1.0
9.282 0.000 0.000
0.000 4.387 0.000
-2.332 0.000 9.009
Ac La Tl Ir
4 2 2 2
Direct
0.118 0.250 0.375 Ac
0.186 0.250 0.956 Ac
0.814 0.750 0.044 Ac
0.882 0.750 0.625 Ac
0.450 0.750 0.316 La
0.550 0.250 0.684 La
0.280 0.750 0.682 Tl
0.720 0.250 0.318 Tl
0.154 0.750 0.171 Ir
0.846 0.250 0.829 Ir

---

[2]
Li5Ac2Ir4 PBE-GGA relaxed; symmetry = C2/m, No. 12; uncorrected energy = -55.24 eV for the cell shown; V = 20.19 Å³/atom
1.0
6.330 -2.627 0.000
6.330 2.627 0.000
-4.526 0.000 6.679
Li Ac Ir
5 2 4
Direct
0.000 0.000 0.000 Li
0.211 0.705 0.256 Li
0.295 0.789 0.744 Li
0.705 0.211 0.256 Li
0.789 0.295 0.744 Li
0.269 0.269 0.692 Ac
0.731 0.731 0.308 Ac
0.235 0.235 0.032 Ir
0.369 0.369 0.426 Ir
0.631 0.631 0.574 Ir
0.765 0.765 0.968 Ir

---

[3]
Li3AcIr PBE-GGA relaxed; symmetry = Amm2, No. 38; uncorrected energy = -37.95 eV for the cell shown; V = 23.10 Å³/atom
1.0
4.876 0.000 0.000
0.000 5.167 0.000
0.000 0.000 9.169
Li Ac Ir
6 2 2
Direct
0.000 0.000 0.000 Li
0.000 0.000 0.266 Li
0.000 0.500 0.500 Li
0.000 0.500 0.766 Li
0.500 0.000 0.412 Li
0.500 0.500 0.912 Li
0.500 0.000 0.732 Ac
0.500 0.500 0.232 Ac
0.500 0.000 0.100 Ir
0.500 0.500 0.600 Ir

---

[4]
Li6AcIr2 PBE-GGA relaxed; symmetry = C2/m, No. 12; uncorrected energy = -33.60 eV for the cell shown; V = 20.52 Å³/atom
1.0
5.386 -4.107 0.000
5.386 4.107 0.000
-1.837 0.000 4.174
Li Ac Ir
6 1 2
Direct
0.066 0.393 0.731 Li
0.149 0.851 0.000 Li
0.393 0.066 0.731 Li
0.607 0.934 0.269 Li
0.851 0.149 0.000 Li
0.934 0.607 0.269 Li
0.500 0.500 0.500 Ac
0.230 0.230 0.231 Ir
0.770 0.770 0.769 Ir

---

[5]
Li3Ac2Ir2 PBE-GGA relaxed; symmetry = C2/m, No. 12; uncorrected energy = -67.85 eV for the cell shown; V = 22.54 Å³/atom
1.0
10.495 0.000 0.000
0.000 4.326 0.000
-3.160 0.000 6.950
Li Ac Ir
6 4 4
Direct
0.000 0.000 0.000 Li
0.163 0.000 0.432 Li
0.337 0.500 0.568 Li
0.500 0.500 0.000 Li
0.663 0.500 0.432 Li
0.837 0.000 0.568 Li
0.133 0.500 0.785 Ac
0.367 0.000 0.215 Ac
0.633 0.000 0.785 Ac
0.867 0.500 0.215 Ac
0.154 0.500 0.186 Ir
0.346 0.000 0.814 Ir
0.654 0.000 0.186 Ir
0.846 0.500 0.814 Ir

---

[6]
LiAc8Ir4 PBE-GGA relaxed; symmetry = Cm, No. 8; uncorrected energy = -76.90 eV for the cell shown; V = 38.63 Å³/atom
1.0
10.501 -2.209 0.000
10.501 2.209 0.000
-9.292 0.000 10.825
Li Ac Ir
1 8 4
Direct
0.000 0.000 0.000 Li
0.042 0.042 0.743 Ac
0.291 0.291 0.928 Ac
0.334 0.334 0.657 Ac
0.369 0.369 0.412 Ac
0.633 0.633 0.589 Ac
0.668 0.668 0.344 Ac
0.711 0.711 0.073 Ac
0.959 0.959 0.259 Ac
0.146 0.146 0.462 Ir
0.338 0.338 0.175 Ir
0.664 0.664 0.826 Ir
0.856 0.856 0.540 Ir

---

Which value of uncorrected energy does entry 4 give? -33.60 eV for the cell shown